{"formula": "MgBeHS", "functional": "PBE", "state": "relaxed", "e_tot_ev_per_cell": -14.2, "n_ef_per_ev_fu": 1.207, "magnetic_moment_mub_per_atom": 0.000, "lattice_angstrom": [[3.006, -1.733, 0.000], [3.006, 1.733, 0.000], [-1.949, 0.000, 5.318]], "species": ["Mg", "Be", "H", "S"], "fractional_positions": [[0.000, 0.000, 0.000], [0.539, 0.539, 0.598], [0.630, 0.630, 0.887], [0.166, 0.166, 0.475]]}

{"formula": "La3Pr4Al4", "functional": "PBE", "state": "relaxed", "e_tot_ev_per_cell": -50.9, "n_ef_per_ev_fu": 13.159, "ef_ev_per_atom": -0.180, "magnetic_moment_mub_per_atom": 0.000, "lattice_angstrom": [[-2.640, 3.546, 8.957], [2.640, -3.546, 8.957], [2.640, 3.546, -8.957]], "species": ["La", "La", "La", "Pr", "Pr", "Pr", "Pr", "Al", "Al", "Al", "Al"], "fractional_positions": [[0.000, 0.000, 0.000], [0.400, 0.900, 0.500], [0.600, 0.100, 0.500], [0.056, 0.323, 0.733], [0.410, 0.677, 0.733], [0.590, 0.323, 0.267], [0.944, 0.677, 0.267], [0.176, 0.176, 0.000], [0.308, 0.500, 0.808], [0.692, 0.500, 0.192], [0.824, 0.824, 0.000]]}

{"formula": "Mn2ReNi", "functional": "PBE", "state": "relaxed", "e_tot_ev_per_cell": -36.2, "n_ef_per_ev_fu": 4.847, "ef_ev_per_atom": 0.101, "magnetic_moment_mub_per_atom": 0.729, "lattice_angstrom": [[2.603, -3.595, 0.000], [2.603, 3.595, 0.000], [0.000, 0.000, 2.633]], "species": ["Mn", "Mn", "Re", "Ni"], "fractional_positions": [[0.000, 0.500, 0.000], [0.500, 0.000, 0.000], [0.000, 0.000, 0.500], [0.500, 0.500, 0.500]]}

{"formula": "Ti2Cu3Ni8", "functional": "PBE", "state": "relaxed", "e_tot_ev_per_cell": -73.5, "n_ef_per_ev_fu": 10.255, "ef_ev_per_atom": 0.061, "magnetic_moment_mub_per_atom": 0.000, "lattice_angstrom": [[2.311, 1.334, 8.935], [-2.311, 1.334, 8.935], [0.000, -2.668, 8.935]], "species": ["Ti", "Ti", "Cu", "Cu", "Cu", "Ni", "Ni", "Ni", "Ni", "Ni", "Ni", "Ni", "Ni"], "fractional_positions": [[0.136, 0.136, 0.136], [0.864, 0.864, 0.864], [0.315, 0.315, 0.315], [0.500, 0.500, 0.500], [0.685, 0.685, 0.685], [0.224, 0.224, 0.224], [0.230, 0.230, 0.726], [0.230, 0.726, 0.230], [0.274, 0.770, 0.770], [0.726, 0.230, 0.230], [0.770, 0.274, 0.770], [0.770, 0.770, 0.274], [0.776, 0.776, 0.776]]}

{"formula": "SrMgZr", "functional": "PBE", "state": "relaxed", "e_tot_ev_per_cell": -8.0, "n_ef_per_ev_fu": 3.390, "ef_ev_per_atom": 1.272, "magnetic_moment_mub_per_atom": 0.000, "lattice_angstrom": [[0.000, 3.737, 3.737], [3.737, 0.000, 3.737], [3.737, 3.737, 0.000]], "species": ["Sr", "Mg", "Zr"], "fractional_positions": [[0.000, 0.000, 0.000], [0.250, 0.250, 0.250], [0.750, 0.750, 0.750]]}

{"formula": "SbP3", "functional": "PBE", "state": "relaxed", "e_tot_ev_per_cell": -38.7, "n_ef_per_ev_fu": 0.685, "e_form_raw_ev_per_atom": 0.247, "magnetic_moment_mub_per_atom": 0.000, "lattice_angstrom": [[3.569, -4.355, 0.000], [3.569, 4.355, 0.000], [0.000, 0.000, 5.691]], "species": ["Sb", "Sb", "P", "P", "P", "P", "P", "P"], "fractional_positions": [[0.029, 0.971, 0.750], [0.971, 0.029, 0.250], [0.046, 0.495, 0.250], [0.443, 0.557, 0.250], [0.495, 0.046, 0.750], [0.505, 0.954, 0.250], [0.557, 0.443, 0.750], [0.954, 0.505, 0.750]]}

Copy entry 4 word for word.
{"formula": "Ti2Cu3Ni8", "functional": "PBE", "state": "relaxed", "e_tot_ev_per_cell": -73.5, "n_ef_per_ev_fu": 10.255, "ef_ev_per_atom": 0.061, "magnetic_moment_mub_per_atom": 0.000, "lattice_angstrom": [[2.311, 1.334, 8.935], [-2.311, 1.334, 8.935], [0.000, -2.668, 8.935]], "species": ["Ti", "Ti", "Cu", "Cu", "Cu", "Ni", "Ni", "Ni", "Ni", "Ni", "Ni", "Ni", "Ni"], "fractional_positions": [[0.136, 0.136, 0.136], [0.864, 0.864, 0.864], [0.315, 0.315, 0.315], [0.500, 0.500, 0.500], [0.685, 0.685, 0.685], [0.224, 0.224, 0.224], [0.230, 0.230, 0.726], [0.230, 0.726, 0.230], [0.274, 0.770, 0.770], [0.726, 0.230, 0.230], [0.770, 0.274, 0.770], [0.770, 0.770, 0.274], [0.776, 0.776, 0.776]]}